# 1
Material: Cs2Hg3I8
Method: DFT, PBE-GGA
State: relaxed

Values from the calculation:
ρ ... 5.1 g cm⁻³
Calculated total energy ... -48.3 eV per cell

Cell: 7.484 22.208 7.835 Å, 90.00 108.84 90.00°
Space group Cm (No. 8)
Inequivalent atoms, fractional coordinates:
Cs  0.000  0.131  0.000
Hg  0.140  0.306  0.371
Hg  0.270  0.500  0.452
I  0.035  0.404  0.550
I  0.050  0.191  0.510
I  0.117  0.000  0.718
I  0.181  0.500  0.083
I  0.496  0.193  0.998

***

# 2
Material: LuNpGe
Method: DFT, PBE-GGA
State: relaxed

Values from the calculation:
Polymorph energy (0 for the lowest one) ... 0.0 meV per atom
ρ ... 10.1 g cm⁻³
Total moment ... 5.387 μB per formula unit

Cell: 6.832 6.832 6.832 Å, 90.00 90.00 90.00°
Space group F-43m (No. 216)
Inequivalent atoms, fractional coordinates:
Lu  0.000  0.000  0.000
Np  0.000  0.000  0.500
Ge  0.250  0.250  0.250

***

# 3
Material: KGeAu3S4
Method: DFT, PBE-GGA
State: relaxed

Values from the calculation:
Polymorph energy (0 for the lowest one) ... 137.7 meV per atom
ρ ... 5.5 g cm⁻³

Cell: 6.318 6.318 6.318 Å, 90.00 90.00 90.00°
Space group P-43m (No. 215)
Inequivalent atoms, fractional coordinates:
K  0.000  0.000  0.000
Ge  0.500  0.500  0.500
Au  0.000  0.500  0.500
S  0.294  0.294  0.294

***

# 4
Material: NdReSb
Method: DFT, PBE-GGA
State: relaxed

Values from the calculation:
Polymorph energy (0 for the lowest one) ... 619.1 meV per atom
ρ ... 8.8 g cm⁻³
Total moment ... 1.523 μB per formula unit

Cell: 6.983 6.983 6.983 Å, 90.00 90.00 90.00°
Space group F-43m (No. 216)
Inequivalent atoms, fractional coordinates:
Nd  0.000  0.000  0.000
Re  0.250  0.250  0.750
Sb  0.250  0.250  0.250